Version 1
AsPIrO | GGA-PBE | optimized geometry

Cell lengths 4.2048, 5.6027, 5.1696 Å; angles 90.00, 90.00, 90.00 degrees
Atoms (fractional coordinates):
As (0.0000, 0.1839, 0.4529)
O (0.5000, 0.7740, 0.8467)
As (0.0000, 0.8161, 0.9529)
O (0.5000, 0.2260, 0.3467)
P (0.0000, 0.7397, 0.4384)
P (0.0000, 0.2603, 0.9384)
Ir (0.5000, 0.4321, 0.0160)
Ir (0.5000, 0.5679, 0.5160)

***

Version 2
AsPIrO | GGA-PBE | optimized geometry

Cell lengths 4.4236, 4.4236, 5.7825 Å; angles 90.00, 90.00, 90.00 degrees
Atoms (fractional coordinates):
Ir (0.2500, 0.2500, 0.0659)
O (0.2500, 0.7500, 0.0000)
As (0.7500, 0.2500, 0.5000)
O (0.7500, 0.2500, 0.0000)
P (0.2500, 0.2500, 0.6744)
Ir (0.7500, 0.7500, 0.9341)
As (0.2500, 0.7500, 0.5000)
P (0.7500, 0.7500, 0.3256)

***

Version 3
AsPIrO | GGA-PBE | optimized geometry

Cell lengths 3.8866, 3.8866, 8.4998 Å; angles 90.00, 90.00, 90.00 degrees
Atoms (fractional coordinates):
P (0.0000, 0.5000, 0.6554)
Ir (0.0000, 0.0000, 0.5000)
As (0.5000, 0.0000, 0.8933)
P (0.5000, 0.0000, 0.3446)
O (0.0000, 0.0000, 0.0000)
Ir (0.5000, 0.5000, 0.5000)
As (0.0000, 0.5000, 0.1067)
O (0.5000, 0.5000, 0.0000)

***

Which of them is the most stable, and which is the least stable? version 3 and version 2, in that order.

***

Version 1
AsIrPtO | GGA-PBE | optimized geometry

Cell lengths 4.0904, 4.0904, 7.0461 Å; angles 90.00, 90.00, 90.00 degrees
Atoms (fractional coordinates):
Ir (0.2500, 0.7500, 0.5000)
Pt (0.7500, 0.7500, 0.9005)
As (0.7500, 0.7500, 0.3028)
Ir (0.7500, 0.2500, 0.5000)
O (0.2500, 0.7500, 0.0000)
As (0.2500, 0.2500, 0.6972)
Pt (0.2500, 0.2500, 0.0995)
O (0.7500, 0.2500, 0.0000)

***

Version 2
AsIrPtO | GGA-PBE | optimized geometry

Cell lengths 4.1697, 4.1697, 6.4609 Å; angles 90.00, 90.00, 90.00 degrees
Atoms (fractional coordinates):
As (0.5000, 0.0000, 0.7254)
O (0.0000, 0.0000, 0.0000)
Pt (0.5000, 0.5000, 0.5000)
As (0.0000, 0.5000, 0.2746)
Ir (0.5000, 0.0000, 0.1082)
O (0.5000, 0.5000, 0.0000)
Ir (0.0000, 0.5000, 0.8918)
Pt (0.0000, 0.0000, 0.5000)

***

Which of them is the most stable, and which is the least stable? version 1 and version 2, in that order.

***

Version 1
AsIrPtO | GGA-PBE | optimized geometry

Cell lengths 4.0485, 4.0485, 8.2431 Å; angles 90.00, 90.00, 90.00 degrees
Atoms (fractional coordinates):
Ir (0.0000, 0.0000, 0.5000)
O (0.5000, 0.5000, 0.0000)
O (0.0000, 0.0000, 0.0000)
Ir (0.5000, 0.5000, 0.5000)
As (0.0000, 0.5000, 0.3283)
As (0.5000, 0.0000, 0.6717)
Pt (0.5000, 0.0000, 0.0650)
Pt (0.0000, 0.5000, 0.9350)

***

Version 2
AsIrPtO | GGA-PBE | optimized geometry

Cell lengths 3.8351, 6.0511, 5.4740 Å; angles 90.00, 90.00, 90.00 degrees
Atoms (fractional coordinates):
As (0.0000, 0.7382, 0.4073)
Ir (0.0000, 0.8568, 0.9846)
Ir (0.0000, 0.1432, 0.4846)
Pt (0.5000, 0.4935, 0.4419)
O (0.5000, 0.1349, 0.4202)
As (0.0000, 0.2618, 0.9073)
O (0.5000, 0.8651, 0.9202)
Pt (0.5000, 0.5065, 0.9419)

***

Which of them is the most stable, and which is the least stable? version 2 and version 1, in that order.

***

Version 1
ReAsIrO | GGA-PBE | optimized geometry

Cell lengths 3.8845, 3.8845, 6.7842 Å; angles 90.00, 90.00, 90.00 degrees
Atoms (fractional coordinates):
O (0.5000, 0.5000, 0.0000)
As (0.0000, 0.5000, 0.2602)
Ir (0.5000, 0.5000, 0.5000)
Ir (0.0000, 0.0000, 0.5000)
As (0.5000, 0.0000, 0.7398)
Re (0.0000, 0.5000, 0.8181)
Re (0.5000, 0.0000, 0.1819)
O (0.0000, 0.0000, 0.0000)

***

Version 2
ReAsIrO | GGA-PBE | optimized geometry

Cell lengths 4.0143, 4.0143, 6.4969 Å; angles 90.00, 90.00, 90.00 degrees
Atoms (fractional coordinates):
As (0.2500, 0.2500, 0.7371)
O (0.7500, 0.2500, 0.0000)
Ir (0.7500, 0.7500, 0.8049)
Re (0.7500, 0.2500, 0.5000)
O (0.2500, 0.7500, 0.0000)
As (0.7500, 0.7500, 0.2629)
Re (0.2500, 0.7500, 0.5000)
Ir (0.2500, 0.2500, 0.1951)

***

Version 3
ReAsIrO | GGA-PBE | optimized geometry

Cell lengths 4.2138, 5.4382, 5.1531 Å; angles 90.00, 90.00, 90.00 degrees
Atoms (fractional coordinates):
Re (0.5000, 0.4205, 0.0640)
As (0.0000, 0.1862, 0.8849)
As (0.0000, 0.8138, 0.3849)
Re (0.5000, 0.5795, 0.5640)
Ir (0.0000, 0.2973, 0.3965)
Ir (0.0000, 0.7027, 0.8965)
O (0.5000, 0.2265, 0.4086)
O (0.5000, 0.7735, 0.9086)

***

Version 4
ReAsIrO | GGA-PBE | optimized geometry

Cell lengths 3.5480, 6.1728, 5.1988 Å; angles 90.00, 90.00, 90.00 degrees
Atoms (fractional coordinates):
As (0.0000, 0.7544, 0.8763)
Ir (0.5000, 0.0403, 0.5691)
Re (0.0000, 0.2996, 0.8915)
O (0.5000, 0.5854, 0.4171)
Re (0.0000, 0.7004, 0.3915)
As (0.0000, 0.2456, 0.3763)
O (0.5000, 0.4146, 0.9171)
Ir (0.5000, 0.9597, 0.0691)

***

Which of them is the most stable, and which is the least stable? version 4 and version 2, in that order.

***

Version 1
SbAsIrO | GGA-PBE | optimized geometry

Cell lengths 4.4488, 5.9246, 5.6318 Å; angles 90.00, 90.00, 90.00 degrees
Atoms (fractional coordinates):
Sb (0.0000, 0.7745, 0.9569)
Ir (0.5000, 0.5365, 0.5230)
Sb (0.0000, 0.2255, 0.4569)
As (0.0000, 0.7222, 0.4676)
As (0.0000, 0.2778, 0.9676)
O (0.5000, 0.2461, 0.3065)
Ir (0.5000, 0.4635, 0.0230)
O (0.5000, 0.7539, 0.8065)

***

Version 2
SbAsIrO | GGA-PBE | optimized geometry

Cell lengths 4.2144, 4.2144, 8.2662 Å; angles 90.00, 90.00, 90.00 degrees
Atoms (fractional coordinates):
O (0.2500, 0.7500, 0.0000)
O (0.7500, 0.2500, 0.0000)
Sb (0.7500, 0.2500, 0.5000)
As (0.2500, 0.2500, 0.7687)
Ir (0.7500, 0.7500, 0.9357)
Sb (0.2500, 0.7500, 0.5000)
Ir (0.2500, 0.2500, 0.0643)
As (0.7500, 0.7500, 0.2313)

***

Version 3
SbAsIrO | GGA-PBE | optimized geometry

Cell lengths 4.0561, 5.6178, 6.8464 Å; angles 90.00, 90.00, 90.00 degrees
Atoms (fractional coordinates):
Ir (0.0000, 0.3045, 0.9744)
Ir (0.0000, 0.6955, 0.4744)
O (0.5000, 0.2534, 0.9183)
O (0.5000, 0.7466, 0.4183)
Sb (0.5000, 0.0897, 0.5410)
As (0.0000, 0.6897, 0.8203)
Sb (0.5000, 0.9103, 0.0410)
As (0.0000, 0.3103, 0.3203)

***

Version 4
SbAsIrO | GGA-PBE | optimized geometry

Cell lengths 3.9657, 3.9657, 8.9145 Å; angles 90.00, 90.00, 90.00 degrees
Atoms (fractional coordinates):
Sb (0.7500, 0.7500, 0.8690)
As (0.7500, 0.7500, 0.3354)
As (0.2500, 0.2500, 0.6646)
Ir (0.7500, 0.2500, 0.5000)
O (0.2500, 0.7500, 0.0000)
Ir (0.2500, 0.7500, 0.5000)
Sb (0.2500, 0.2500, 0.1310)
O (0.7500, 0.2500, 0.0000)

***

Which of them is the most stable, and which is the least stable? version 4 and version 2, in that order.

***

Version 1
TaAsIrO | GGA-PBE | optimized geometry

Cell lengths 3.9881, 5.6617, 5.6886 Å; angles 90.00, 90.00, 90.00 degrees
Atoms (fractional coordinates):
Ir (0.0000, 0.2291, 0.3875)
As (0.0000, 0.2206, 0.8525)
O (0.5000, 0.7287, 0.9251)
Ir (0.0000, 0.7709, 0.8875)
Ta (0.5000, 0.5901, 0.5889)
Ta (0.5000, 0.4099, 0.0889)
O (0.5000, 0.2713, 0.4251)
As (0.0000, 0.7794, 0.3525)

***

Version 2
TaAsIrO | GGA-PBE | optimized geometry

Cell lengths 4.2325, 4.2325, 6.2274 Å; angles 90.00, 90.00, 90.00 degrees
Atoms (fractional coordinates):
Ta (0.7500, 0.2500, 0.5000)
Ir (0.2500, 0.2500, 0.1391)
As (0.2500, 0.2500, 0.7332)
O (0.7500, 0.2500, 0.0000)
O (0.2500, 0.7500, 0.0000)
As (0.7500, 0.7500, 0.2668)
Ta (0.2500, 0.7500, 0.5000)
Ir (0.7500, 0.7500, 0.8609)

***

Version 3
TaAsIrO | GGA-PBE | optimized geometry

Cell lengths 4.7531, 4.7531, 5.0222 Å; angles 90.00, 90.00, 90.00 degrees
Atoms (fractional coordinates):
O (0.0000, 0.0000, 0.0000)
Ir (0.0000, 0.5000, 0.7618)
Ir (0.5000, 0.0000, 0.2382)
As (0.0000, 0.5000, 0.2547)
As (0.5000, 0.0000, 0.7453)
O (0.5000, 0.5000, 0.0000)
Ta (0.0000, 0.0000, 0.5000)
Ta (0.5000, 0.5000, 0.5000)

***

Which of them is the most stable, and which is the least stable? version 1 and version 2, in that order.

***

Version 1
TlAsIrO | GGA-PBE | optimized geometry

Cell lengths 3.7015, 8.1660, 5.4641 Å; angles 90.00, 90.00, 90.00 degrees
Atoms (fractional coordinates):
As (0.0000, 0.3563, 0.8736)
Tl (0.0000, 0.1214, 0.3909)
O (0.5000, 0.3126, 0.3716)
As (0.0000, 0.6437, 0.3736)
Ir (0.5000, 0.5024, 0.6179)
O (0.5000, 0.6874, 0.8716)
Tl (0.0000, 0.8786, 0.8909)
Ir (0.5000, 0.4976, 0.1179)

***

Version 2
TlAsIrO | GGA-PBE | optimized geometry

Cell lengths 4.0663, 4.0663, 9.2424 Å; angles 90.00, 90.00, 90.00 degrees
Atoms (fractional coordinates):
Tl (0.7500, 0.7500, 0.8828)
Tl (0.2500, 0.2500, 0.1172)
Ir (0.2500, 0.7500, 0.5000)
O (0.2500, 0.7500, 0.0000)
As (0.7500, 0.7500, 0.3468)
Ir (0.7500, 0.2500, 0.5000)
As (0.2500, 0.2500, 0.6532)
O (0.7500, 0.2500, 0.0000)

***

Version 3
TlAsIrO | GGA-PBE | optimized geometry

Cell lengths 4.1721, 4.1721, 8.4697 Å; angles 90.00, 90.00, 90.00 degrees
Atoms (fractional coordinates):
O (0.0000, 0.0000, 0.0000)
Ir (0.0000, 0.5000, 0.9134)
As (0.0000, 0.5000, 0.2015)
Tl (0.0000, 0.0000, 0.5000)
Tl (0.5000, 0.5000, 0.5000)
O (0.5000, 0.5000, 0.0000)
As (0.5000, 0.0000, 0.7985)
Ir (0.5000, 0.0000, 0.0866)

***

Which of them is the most stable, and which is the least stable? version 1 and version 3, in that order.

***

Version 1
TmAsIrO | GGA-PBE | optimized geometry

Cell lengths 4.6924, 4.6924, 6.4127 Å; angles 90.00, 90.00, 90.00 degrees
Atoms (fractional coordinates):
O (0.0000, 0.0000, 0.0000)
Ir (0.5000, 0.0000, 0.2872)
As (0.5000, 0.0000, 0.9161)
Tm (0.0000, 0.0000, 0.5000)
As (0.0000, 0.5000, 0.0839)
Tm (0.5000, 0.5000, 0.5000)
Ir (0.0000, 0.5000, 0.7128)
O (0.5000, 0.5000, 0.0000)

***

Version 2
TmAsIrO | GGA-PBE | optimized geometry

Cell lengths 4.0007, 4.0007, 8.0023 Å; angles 90.00, 90.00, 90.00 degrees
Atoms (fractional coordinates):
Tm (0.7500, 0.7500, 0.8730)
O (0.7500, 0.2500, 0.0000)
As (0.7500, 0.7500, 0.3194)
As (0.2500, 0.2500, 0.6806)
Ir (0.2500, 0.7500, 0.5000)
O (0.2500, 0.7500, 0.0000)
Tm (0.2500, 0.2500, 0.1270)
Ir (0.7500, 0.2500, 0.5000)

***

Version 3
TmAsIrO | GGA-PBE | optimized geometry

Cell lengths 4.6573, 4.4679, 6.2903 Å; angles 90.00, 90.00, 90.00 degrees
Atoms (fractional coordinates):
Ir (0.0000, 0.8508, 0.4308)
Ir (0.0000, 0.1492, 0.9308)
O (0.5000, 0.1742, 0.9392)
As (0.0000, 0.3489, 0.2866)
Tm (0.5000, 0.7320, 0.0975)
As (0.0000, 0.6511, 0.7866)
Tm (0.5000, 0.2680, 0.5975)
O (0.5000, 0.8258, 0.4392)

***

Version 4
TmAsIrO | GGA-PBE | optimized geometry

Cell lengths 3.3250, 7.8887, 5.3415 Å; angles 90.00, 90.00, 90.00 degrees
Atoms (fractional coordinates):
As (0.0000, 0.9269, 0.4645)
O (0.5000, 0.5512, 0.8766)
O (0.5000, 0.4488, 0.3766)
Tm (0.0000, 0.7015, 0.9651)
Tm (0.0000, 0.2985, 0.4651)
Ir (0.5000, 0.2909, 0.9477)
Ir (0.5000, 0.7091, 0.4477)
As (0.0000, 0.0731, 0.9645)

***

Which of them is the most stable, and which is the least stable? version 2 and version 1, in that order.